# 1
Ti3Pb2 | PBE | relaxed

Lattice parameters (Å, degrees): 5.7514 5.7514 5.7514 49.38 49.38 49.38
Closest atoms and distances in Å follow each position.
Atoms (fractional coordinates):
Ti: 0.0000 0.0000 0.0000  2 Ti 2.88, 6 Pb 2.95
Ti: 0.1903 0.1903 0.1903  4 Ti 2.86-2.88, 4 Pb 3.00-3.18
Ti: 0.8097 0.8097 0.8097  4 Ti 2.86-2.88, 4 Pb 3.00-3.18
Pb: 0.4004 0.4004 0.4004  7 Ti 2.95-3.18, 1 Pb 3.01
Pb: 0.5996 0.5996 0.5996  7 Ti 2.95-3.18, 1 Pb 3.01

Output
D(E_F)   1.0006 states/eV per atom
Magnetization   0.013 Bohr magnetons per cell
Crystal system   trigonal
Electronic total energy   -6.1419 eV/atom


# 2
Ti2TlPb2 | PBE | relaxed

Lattice parameters (Å, degrees): 8.8104 8.8104 3.1307 90.00 90.00 90.00
Closest atoms and distances in Å follow each position.
Atoms (fractional coordinates):
Ti: 0.1165 0.3835 0.0000  3 Ti 2.90-3.13, 6 Pb 3.03-3.06
Ti: 0.3835 0.8835 0.0000  3 Ti 2.90-3.13, 6 Pb 3.03-3.06
Ti: 0.6165 0.1165 0.0000  3 Ti 2.90-3.13, 6 Pb 3.03-3.06
Ti: 0.8835 0.6165 0.0000  3 Ti 2.90-3.13, 6 Pb 3.03-3.06
Tl: 0.0000 0.0000 0.5000  2 Tl 3.13, 4 Pb 3.26
Tl: 0.5000 0.5000 0.5000  2 Tl 3.13, 4 Pb 3.26
Pb: 0.1727 0.6727 0.5000  6 Ti 3.03-3.06, 2 Pb 3.13, 2 Tl 3.26
Pb: 0.3273 0.1727 0.5000  6 Ti 3.03-3.06, 2 Pb 3.13, 2 Tl 3.26
Pb: 0.6727 0.8273 0.5000  6 Ti 3.03-3.06, 2 Pb 3.13, 2 Tl 3.26
Pb: 0.8273 0.3273 0.5000  6 Ti 3.03-3.06, 2 Pb 3.13, 2 Tl 3.26

Output
D(E_F)   0.7619 states/eV per atom
Magnetization   2.187 Bohr magnetons per cell
Crystal system   tetragonal
Polymorph energy (0 for the lowest one)   116.0 meV/atom
Electronic total energy   -4.8931 eV/atom


# 3
Ti12TlPb3 | PBE | relaxed

Lattice parameters (Å, degrees): 5.2813 5.2821 10.5721 90.00 90.00 90.00
Closest atoms and distances in Å follow each position.
Atoms (fractional coordinates):
Ti: 0.0000 0.0000 0.1223  2 Ti 2.59-2.65
Ti: 0.0000 0.0000 0.3731  2 Ti 2.65-2.68, 4 Pb 2.94-2.96
Ti: 0.0000 0.0000 0.6269  2 Ti 2.65-2.68, 4 Pb 2.94-2.96
Ti: 0.0000 0.0000 0.8777  2 Ti 2.59-2.65
Ti: 0.2497 0.5000 0.5000  2 Ti 2.64, 4 Pb 2.95
Ti: 0.2517 0.5000 0.0000  2 Ti 2.62-2.66
Ti: 0.5000 0.2491 0.2489  2 Ti 2.63-2.65, 1 Tl 2.94
Ti: 0.5000 0.2491 0.7511  2 Ti 2.63-2.65, 1 Tl 2.94
Ti: 0.5000 0.7509 0.2489  2 Ti 2.63-2.65, 1 Tl 2.94
Ti: 0.5000 0.7509 0.7511  2 Ti 2.63-2.65, 1 Tl 2.94
Ti: 0.7483 0.5000 0.0000  2 Ti 2.62-2.66
Ti: 0.7503 0.5000 0.5000  2 Ti 2.64, 4 Pb 2.95
Tl: 0.5000 0.0000 0.0000  12 Ti 2.94-2.95
Pb: 0.0000 0.5000 0.2500  12 Ti 2.94-2.97
Pb: 0.0000 0.5000 0.7500  12 Ti 2.94-2.97
Pb: 0.5000 0.0000 0.5000  12 Ti 2.95-2.96

Output
D(E_F)   1.3651 states/eV per atom
Magnetization   2.563 Bohr magnetons per cell
Crystal system   orthorhombic
Electronic total energy   -6.8139 eV/atom


# 4
TiTl3Pb | PBE | relaxed

Lattice parameters (Å, degrees): 5.4302 5.4302 5.4302 90.00 90.00 90.00
Closest atoms and distances in Å follow each position.
Atoms (fractional coordinates):
Ti: 0.0000 0.0000 0.0000  6 Tl 2.72
Tl: 0.0000 0.0000 0.5000  2 Ti 2.72
Tl: 0.0000 0.5000 0.0000  2 Ti 2.72
Tl: 0.5000 0.0000 0.0000  2 Ti 2.72
Pb: 0.5000 0.5000 0.5000  12 Tl 3.84

Output
D(E_F)   1.1528 states/eV per atom
Magnetization   0.000 Bohr magnetons per cell
Crystal system   cubic
Polymorph energy (0 for the lowest one)   0.0 meV/atom
Electronic total energy   -3.3323 eV/atom


# 5
Ti4TlPb | PBE | relaxed

Lattice parameters (Å, degrees): 4.6166 5.7633 8.8655 90.00 90.00 90.00
Closest atoms and distances in Å follow each position.
Atoms (fractional coordinates):
Ti: 0.2500 0.0154 0.2501  5 Ti 2.70-3.02
Ti: 0.2500 0.4846 0.2501  5 Ti 2.70-3.02
Ti: 0.2500 0.7500 0.5924  1 Ti 2.69, 4 Pb 2.80-2.88
Ti: 0.2500 0.7500 0.8960  5 Ti 2.69-2.97, 4 Tl 2.78-2.90
Ti: 0.7500 0.2500 0.1040  5 Ti 2.69-2.97, 4 Tl 2.78-2.90
Ti: 0.7500 0.2500 0.4076  1 Ti 2.69, 4 Pb 2.80-2.88
Ti: 0.7500 0.5154 0.7499  5 Ti 2.70-3.02
Ti: 0.7500 0.9846 0.7499  5 Ti 2.70-3.02
Tl: 0.2500 0.2500 0.9299  4 Ti 2.78-2.90, 1 Pb 3.04
Tl: 0.7500 0.7500 0.0701  4 Ti 2.78-2.90, 1 Pb 3.04
Pb: 0.2500 0.2500 0.5865  8 Ti 2.80-3.12, 1 Tl 3.04
Pb: 0.7500 0.7500 0.4135  8 Ti 2.80-3.12, 1 Tl 3.04

Output
D(E_F)   0.6305 states/eV per atom
Magnetization   0.000 Bohr magnetons per cell
Crystal system   orthorhombic
Polymorph energy (0 for the lowest one)   93.8 meV/atom
Electronic total energy   -6.2005 eV/atom


# 6
Ti6TlPb2 | PBE | relaxed

Lattice parameters (Å, degrees): 8.4562 8.4562 8.4562 159.70 122.25 61.87
Closest atoms and distances in Å follow each position.
Atoms (fractional coordinates):
Ti: 0.1513 0.8281 0.3232  6 Ti 2.78-2.98, 3 Pb 2.91-3.04
Ti: 0.1719 0.0000 0.1719  5 Ti 2.78-2.98, 4 Pb 3.03, 2 Tl 3.07
Ti: 0.4951 0.1719 0.3232  6 Ti 2.78-2.98, 3 Pb 2.91-3.04
Ti: 0.5049 0.8281 0.6768  6 Ti 2.78-2.98, 3 Pb 2.91-3.04
Ti: 0.8281 0.0000 0.8281  5 Ti 2.78-2.98, 4 Pb 3.03, 2 Tl 3.07
Ti: 0.8487 0.1719 0.6768  6 Ti 2.78-2.98, 3 Pb 2.91-3.04
Tl: 0.5000 0.5000 0.0000  2 Tl 2.98, 12 Ti 3.07-3.24
Pb: 0.1538 0.6538 0.5000  10 Ti 2.91-3.04, 2 Pb 2.98
Pb: 0.8462 0.3462 0.5000  10 Ti 2.91-3.04, 2 Pb 2.98

Output
D(E_F)   1.3302 states/eV per atom
Magnetization   0.325 Bohr magnetons per cell
Crystal system   orthorhombic
Electronic total energy   -6.1155 eV/atom


# 7
Ti6TlPb | PBE | relaxed

Lattice parameters (Å, degrees): 4.8069 5.9514 5.9514 60.07 90.00 90.00
Closest atoms and distances in Å follow each position.
Atoms (fractional coordinates):
Ti: 0.0000 0.0000 0.0000  8 Ti 2.89-3.06, 2 Pb 2.98, 2 Tl 2.99
Ti: 0.0000 0.9996 0.4855  8 Ti 2.89-3.06, 2 Pb 2.97-2.98, 2 Tl 2.98
Ti: 0.0000 0.4855 0.9996  8 Ti 2.89-3.06, 2 Pb 2.97-2.98, 2 Tl 2.98
Ti: 0.5000 0.3230 0.3230  8 Ti 2.89-3.06, 2 Tl 2.98, 2 Pb 2.98
Ti: 0.5000 0.3233 0.8370  8 Ti 2.89-3.06, 2 Tl 2.97-2.98, 2 Pb 2.98
Ti: 0.5000 0.8370 0.3233  8 Ti 2.89-3.06, 2 Tl 2.97-2.98, 2 Pb 2.98
Tl: 0.5000 0.8280 0.8280  12 Ti 2.97-2.99
Pb: 0.0000 0.4948 0.4948  12 Ti 2.97-2.98

Output
D(E_F)   0.8345 states/eV per atom
Magnetization   0.000 Bohr magnetons per cell
Crystal system   orthorhombic
Electronic total energy   -6.7062 eV/atom


# 8
Ti2TlPb2 | PBE | relaxed

Lattice parameters (Å, degrees): 7.4916 7.4916 4.0944 90.00 90.00 90.00
Closest atoms and distances in Å follow each position.
Atoms (fractional coordinates):
Ti: 0.1327 0.3673 0.0000  1 Ti 2.81, 2 Tl 2.93, 6 Pb 2.95-3.05
Ti: 0.3673 0.8673 0.0000  1 Ti 2.81, 2 Tl 2.93, 6 Pb 2.95-3.05
Ti: 0.6327 0.1327 0.0000  1 Ti 2.81, 2 Tl 2.93, 6 Pb 2.95-3.05
Ti: 0.8673 0.6327 0.0000  1 Ti 2.81, 2 Tl 2.93, 6 Pb 2.95-3.05
Tl: 0.0000 0.0000 0.0000  4 Ti 2.93
Tl: 0.5000 0.5000 0.0000  4 Ti 2.93
Pb: 0.1671 0.6671 0.5000  6 Ti 2.95-3.05
Pb: 0.3329 0.1671 0.5000  6 Ti 2.95-3.05
Pb: 0.6671 0.8329 0.5000  6 Ti 2.95-3.05
Pb: 0.8329 0.3329 0.5000  6 Ti 2.95-3.05

Output
D(E_F)   0.8113 states/eV per atom
Magnetization   0.000 Bohr magnetons per cell
Crystal system   tetragonal
Polymorph energy (0 for the lowest one)   0.0 meV/atom
Electronic total energy   -5.0091 eV/atom


# 9
Ti9TlPb2 | PBE | relaxed

Lattice parameters (Å, degrees): 4.1821 4.1821 12.6759 90.00 90.00 90.00
Closest atoms and distances in Å follow each position.
Atoms (fractional coordinates):
Ti: 0.0000 0.0000 0.0000  8 Ti 2.96, 4 Tl 2.96
Ti: 0.0000 0.0000 0.3301  4 Pb 2.96, 8 Ti 2.96-3.00
Ti: 0.0000 0.0000 0.6699  4 Pb 2.96, 8 Ti 2.96-3.00
Ti: 0.0000 0.5000 0.1649  2 Tl 2.96, 8 Ti 2.96, 2 Pb 2.99
Ti: 0.0000 0.5000 0.5000  8 Ti 2.96-3.00, 4 Pb 2.97
Ti: 0.0000 0.5000 0.8351  2 Tl 2.96, 8 Ti 2.96, 2 Pb 2.99
Ti: 0.5000 0.0000 0.1649  2 Tl 2.96, 8 Ti 2.96, 2 Pb 2.99
Ti: 0.5000 0.0000 0.5000  8 Ti 2.96-3.00, 4 Pb 2.97
Ti: 0.5000 0.0000 0.8351  2 Tl 2.96, 8 Ti 2.96, 2 Pb 2.99
Tl: 0.5000 0.5000 0.0000  12 Ti 2.96
Pb: 0.5000 0.5000 0.3333  12 Ti 2.96-2.99
Pb: 0.5000 0.5000 0.6667  12 Ti 2.96-2.99

Output
D(E_F)   1.2964 states/eV per atom
Magnetization   0.001 Bohr magnetons per cell
Crystal system   tetragonal
Electronic total energy   -6.7407 eV/atom


# 10
Ti12Tl3Pb | PBE | relaxed

Lattice parameters (Å, degrees): 5.2639 5.2651 10.5343 90.00 90.00 90.00
Closest atoms and distances in Å follow each position.
Atoms (fractional coordinates):
Ti: 0.0000 0.0000 0.1236  2 Ti 2.60-2.62
Ti: 0.0000 0.0000 0.3727  2 Ti 2.62-2.68, 2 Tl 2.93
Ti: 0.0000 0.0000 0.6273  2 Ti 2.62-2.68, 2 Tl 2.93
Ti: 0.0000 0.0000 0.8764  2 Ti 2.60-2.62
Ti: 0.2483 0.5000 0.5000  2 Ti 2.61-2.65
Ti: 0.2500 0.5000 0.0000  2 Ti 2.63, 4 Tl 2.94
Ti: 0.5000 0.2507 0.2489  2 Ti 2.62-2.64, 1 Tl 2.94
Ti: 0.5000 0.2507 0.7511  2 Ti 2.62-2.64, 1 Tl 2.94
Ti: 0.5000 0.7493 0.2489  2 Ti 2.62-2.64, 1 Tl 2.94
Ti: 0.5000 0.7493 0.7511  2 Ti 2.62-2.64, 1 Tl 2.94
Ti: 0.7500 0.5000 0.0000  2 Ti 2.63, 4 Tl 2.94
Ti: 0.7517 0.5000 0.5000  2 Ti 2.61-2.65
Tl: 0.0000 0.5000 0.2498  12 Ti 2.93-2.95
Tl: 0.0000 0.5000 0.7502  12 Ti 2.93-2.95
Tl: 0.5000 0.0000 0.0000  12 Ti 2.94
Pb: 0.5000 0.0000 0.5000  12 Ti 2.95-2.96

Output
D(E_F)   1.1217 states/eV per atom
Magnetization   0.000 Bohr magnetons per cell
Crystal system   orthorhombic
Electronic total energy   -6.6211 eV/atom


# 11
Ti4TlPb | PBE | relaxed

Lattice parameters (Å, degrees): 5.3344 5.3344 6.9946 109.15 109.15 37.71
Closest atoms and distances in Å follow each position.
Atoms (fractional coordinates):
Ti: 0.1744 0.1744 0.3383  4 Ti 2.83-2.84, 3 Tl 2.95-3.08, 2 Pb 2.96
Ti: 0.1749 0.1749 0.8364  4 Ti 2.84-2.85, 2 Tl 2.96, 3 Pb 2.97-3.08
Ti: 0.8251 0.8251 0.1636  4 Ti 2.84-2.85, 2 Tl 2.96, 3 Pb 2.97-3.08
Ti: 0.8256 0.8256 0.6617  4 Ti 2.83-2.84, 3 Tl 2.95-3.08, 2 Pb 2.96
Tl: 0.5000 0.5000 0.5000  10 Ti 2.95-3.08
Pb: 0.5000 0.5000 0.0000  10 Ti 2.96-3.08

Output
D(E_F)   0.5825 states/eV per atom
Magnetization   0.000 Bohr magnetons per cell
Crystal system   monoclinic
Polymorph energy (0 for the lowest one)   0.0 meV/atom
Electronic total energy   -6.2943 eV/atom


# 12
TiTl3Pb | PBE | relaxed

Lattice parameters (Å, degrees): 5.8330 5.8330 5.8330 90.00 90.00 90.00
Closest atoms and distances in Å follow each position.
Atoms (fractional coordinates):
Ti: 0.0000 0.0000 0.0000  12 Tl 4.12
Tl: 0.0000 0.5000 0.5000  2 Pb 2.92
Tl: 0.5000 0.0000 0.5000  2 Pb 2.92
Tl: 0.5000 0.5000 0.0000  2 Pb 2.92
Pb: 0.5000 0.5000 0.5000  6 Tl 2.92

Output
D(E_F)   3.1124 states/eV per atom
Magnetization   0.000 Bohr magnetons per cell
Crystal system   cubic
Polymorph energy (0 for the lowest one)   744.1 meV/atom
Electronic total energy   -2.5882 eV/atom


The following mass density values (in Mg/m³) correspond, in order, to the records above: 9.20, 9.76, 7.88, 9.00, 8.49, 8.52, 7.86, 10.33, 7.86, 7.93, 8.77, 7.26.